Density functional theory data (PBE-GGA) for a relaxed structure of Nb3CuSi.

The structure belongs to space group Pm-3m (No. 221); the cell edges are 4.647, 4.647 and 4.647 Å and the angles 90.00°, 90.00° and 90.00°. The asymmetric unit holds Nb at (0.000, 0.000, 0.500), Cu at (0.500, 0.500, 0.500) and Si at (0.000, 0.000, 0.000).

For the total energy, the calculation gives -0.523 Ry per atom. The value obtained for the energy above the most stable polymorph in this dataset is 0 meV per atom.

Density functional theory data (PBE-GGA) for a relaxed structure of Ta2NbCuSi.

The structure belongs to space group P4/mmm (No. 123); the cell edges are 4.725, 4.725 and 4.068 Å and the angles 90.00°, 90.00° and 90.00°. The asymmetric unit holds Ta at (0.000, 0.500, 0.000), Nb at (0.000, 0.000, 0.500), Cu at (0.500, 0.500, 0.000) and Si at (0.500, 0.500, 0.500).

For the total energy, the calculation gives -0.577 Ry per atom.

Density functional theory data (PBE-GGA) for a relaxed structure of SmNbCu.

The structure belongs to space group P4/mmm (No. 123); the cell edges are 3.426, 3.426 and 10.678 Å and the angles 90.00°, 90.00° and 90.00°. The asymmetric unit holds Sm at (0.000, 0.000, 0.178), Nb at (0.500, 0.500, 0.381), Cu at (0.000, 0.000, 0.500) and Cu at (0.500, 0.500, 0.000).

For the total energy, the calculation gives -0.451 Ry per atom. The formation energy comes out at 0.466 eV/f.u.

Density functional theory data (PBE-GGA) for a relaxed structure of NbCuSn2.

The structure belongs to space group Fm-3m (No. 225); the cell edges are 6.820, 6.820 and 6.820 Å and the angles 90.00°, 90.00° and 90.00°. The asymmetric unit holds Nb at (0.000, 0.000, 0.000), Cu at (0.000, 0.000, 0.500) and Sn at (0.250, 0.250, 0.250).

For the total energy, the calculation gives -0.381 Ry per atom. The formation energy comes out at 1.423 eV/f.u.

Density functional theory data (PBE-GGA) for a relaxed structure of NbCu2Sn2.

The structure belongs to space group P4/mbm (No. 127); the cell edges are 7.461, 7.461 and 3.173 Å and the angles 90.00°, 90.00° and 90.00°. The asymmetric unit holds Nb at (0.000, 0.000, 0.000), Cu at (0.116, 0.384, 0.000) and Sn at (0.181, 0.681, 0.500).

For the total energy, the calculation gives -0.377 Ry per atom. The formation energy comes out at 0.654 eV/f.u.

Density functional theory data (PBE-GGA) for a relaxed structure of NbCuSn2.

The structure belongs to space group I-42d (No. 122); the cell edges are 7.372, 7.372 and 6.023 Å and the angles 90.00°, 90.00° and 90.00°. The asymmetric unit holds Nb at (0.000, 0.000, 0.000), Cu at (0.000, 0.000, 0.500) and Sn at (0.213, 0.250, 0.625).

For the total energy, the calculation gives -0.382 Ry per atom. The formation energy comes out at 1.395 eV/f.u.

Density functional theory data (PBE-GGA) for a relaxed structure of NbCuSn2.

The structure belongs to space group P4/mmm (No. 123); the cell edges are 4.666, 4.666 and 3.534 Å and the angles 90.00°, 90.00° and 90.00°. The asymmetric unit holds Nb at (0.000, 0.000, 0.000), Cu at (0.500, 0.500, 0.000) and Sn at (0.000, 0.500, 0.500).

For the total energy, the calculation gives -0.399 Ry per atom. The formation energy comes out at 0.478 eV/f.u.

Density functional theory data (PBE-GGA) for a relaxed structure of NbCuSn2.

The structure belongs to space group R-3m (No. 166, hexagonal axes); the cell edges are 3.1472, 3.1472 and 29.5683 Å and the angles 90.00°, 90.00° and 120.00°. The asymmetric unit holds Nb at (0.0000, 0.0000, 0.0000), Cu at (0.0000, 0.0000, 0.5000) and Sn at (0.0000, 0.0000, 0.0961).

For the total energy, the calculation gives -0.376 Ry per atom. The formation energy comes out at 1.721 eV/f.u.

- Which formula does entry 8 have?
  NbCuSn2